A plane-wave DFT calculation with meta-GGA SCAN was carried out for FeOs3 at its PBEsol-relaxed geometry. Values from VASP.

Structure (Quantum ESPRESSO input):
```
&SYSTEM
  ibrav = 0, nat = 4, ntyp = 2
/
ATOMIC_SPECIES
Fe 55.84 Fe.upf
Os 190.23 Os.upf
ATOMIC_POSITIONS crystal
Fe 0.000 0.000 0.000
Os 0.000 0.500 0.500
Os 0.500 0.000 0.500
Os 0.500 0.500 0.000
CELL_PARAMETERS angstrom
2.648 -3.746 0.000
2.648 3.746 0.000
0.000 0.000 2.663
```

Computed properties:
crystal system = orthorhombic
symmetry = Cmmm (65)
total energy = -233.03 eV/cell
DOS(E_F) = 2.81 states/eV per cell
calculated formation energy = 185 meV per atom